RbFeRe2Pd: optimized geometry, PBE-GGA.

Summary:
As for the crystal system: tetragonal. The calculation puts the total energy at -27.25 eV per cell. The value obtained for the total magnetization is 5.078 Bohr magnetons per cell. For the calculated formation energy, the calculation gives 2.4544 eV per atom.

Unit cell a=4.996 b=4.996 c=4.819 alpha=90.00 beta=90.00 gamma=90.00
Element x y z (fractional)
1 Rb 0.000 0.000 0.000
2 Fe 0.500 0.500 0.000
3 Re 0.000 0.500 0.500
4 Re 0.500 0.000 0.500
5 Pd 0.500 0.500 0.500

RbFePdRu2: optimized geometry, PBE-GGA.

Summary:
As for the crystal system: tetragonal. As for the excess energy over the best structure of this formula in the dataset: 0.000 eV/f.u. The calculation puts the total energy at -25.11 eV per cell. The value obtained for the total magnetization is 7.630 Bohr magnetons per cell. For the calculated formation energy, the calculation gives 1.6124 eV per atom.

Unit cell a=4.984 b=4.984 c=4.826 alpha=90.00 beta=90.00 gamma=90.00
Element x y z (fractional)
1 Rb 0.000 0.000 0.000
2 Fe 0.500 0.500 0.000
3 Pd 0.500 0.500 0.500
4 Ru 0.000 0.500 0.500
5 Ru 0.500 0.000 0.500

RbFePdRu2: optimized geometry, PBE-GGA.

Summary:
As for the crystal system: tetragonal. As for the excess energy over the best structure of this formula in the dataset: 2.500 eV/f.u. The calculation puts the total energy at -22.61 eV per cell. The value obtained for the total magnetization is 8.074 Bohr magnetons per cell. For the calculated formation energy, the calculation gives 2.1125 eV per atom.

Unit cell a=4.905 b=4.905 c=5.576 alpha=90.00 beta=90.00 gamma=90.00
Element x y z (fractional)
1 Rb 0.000 0.000 0.000
2 Fe 0.500 0.500 0.000
3 Pd 0.000 0.000 0.500
4 Ru 0.000 0.500 0.500
5 Ru 0.500 0.000 0.500

Rb2FeTcPd: optimized geometry, PBE-GGA.

Summary:
As for the crystal system: tetragonal. The calculation puts the total energy at -18.16 eV per cell. The value obtained for the total magnetization is 7.709 Bohr magnetons per cell. For the calculated formation energy, the calculation gives 1.5599 eV per atom.

Unit cell a=6.419 b=6.419 c=4.785 alpha=90.00 beta=90.00 gamma=90.00
Element x y z (fractional)
1 Rb 0.000 0.500 0.000
2 Rb 0.500 0.000 0.000
3 Fe 0.000 0.000 0.500
4 Tc 0.500 0.500 0.500
5 Pd 0.000 0.000 0.000

RbFeTe2Pd: optimized geometry, PBE-GGA.

Summary:
As for the crystal system: tetragonal. The calculation puts the total energy at -20.20 eV per cell. The value obtained for the total magnetization is 3.528 Bohr magnetons per cell.

Unit cell a=5.466 b=5.466 c=4.988 alpha=90.00 beta=90.00 gamma=90.00
Element x y z (fractional)
1 Rb 0.000 0.000 0.000
2 Fe 0.500 0.500 0.000
3 Te 0.000 0.500 0.500
4 Te 0.500 0.000 0.500
5 Pd 0.500 0.500 0.500

Fe2Re2Pd: optimized geometry, PBE-GGA.

Summary:
As for the crystal system: tetragonal. The calculation puts the total energy at -92.67 eV per cell. The value obtained for the total magnetization is 0.000 Bohr magnetons per cell. For the calculated formation energy, the calculation gives 0.1361 eV per atom.

Unit cell a=7.097 b=7.097 c=2.675 alpha=90.00 beta=90.00 gamma=90.00
Element x y z (fractional)
1 Fe 0.127 0.373 0.000
2 Fe 0.373 0.873 0.000
3 Fe 0.627 0.127 0.000
4 Fe 0.873 0.627 0.000
5 Re 0.166 0.666 0.500
6 Re 0.334 0.166 0.500
7 Re 0.666 0.834 0.500
8 Re 0.834 0.334 0.500
9 Pd 0.000 0.000 0.000
10 Pd 0.500 0.500 0.000

Fe4RePd: optimized geometry, PBE-GGA.

Summary:
As for the crystal system: cubic. The calculation puts the total energy at -51.10 eV per cell. The value obtained for the total magnetization is 6.778 Bohr magnetons per cell. For the calculated formation energy, the calculation gives 0.0653 eV per atom.

Unit cell a=4.709 b=4.709 c=4.709 alpha=60.00 beta=60.00 gamma=60.00
Element x y z (fractional)
1 Fe 0.125 0.125 0.125
2 Fe 0.125 0.125 0.625
3 Fe 0.125 0.625 0.125
4 Fe 0.625 0.125 0.125
5 Re 0.500 0.500 0.500
6 Pd 0.750 0.750 0.750

FeRePd2: optimized geometry, PBE-GGA.

Summary:
As for the crystal system: tetragonal. As for the excess energy over the best structure of this formula in the dataset: 4.005 eV/f.u. The calculation puts the total energy at -49.72 eV per cell. The value obtained for the total magnetization is 0.000 Bohr magnetons per cell. For the calculated formation energy, the calculation gives 1.6092 eV per atom.

Unit cell a=6.657 b=6.657 c=6.657 alpha=131.37 beta=131.37 gamma=71.23
Element x y z (fractional)
1 Fe 0.000 0.000 0.000
2 Fe 0.750 0.250 0.500
3 Re 0.250 0.750 0.500
4 Re 0.500 0.500 0.000
5 Pd 0.107 0.625 0.982
6 Pd 0.375 0.357 0.482
7 Pd 0.643 0.125 0.018
8 Pd 0.875 0.893 0.518

FeRePd: optimized geometry, PBE-GGA.

Summary:
As for the crystal system: trigonal. As for the excess energy over the best structure of this formula in the dataset: 0.755 eV/f.u. The calculation puts the total energy at -50.08 eV per cell. The value obtained for the total magnetization is 0.000 Bohr magnetons per cell. For the calculated formation energy, the calculation gives 0.3541 eV per atom.

Unit cell a=6.738 b=6.738 c=6.738 alpha=35.47 beta=35.47 gamma=35.47
Element x y z (fractional)
1 Fe 0.236 0.236 0.236
2 Fe 0.764 0.764 0.764
3 Re 0.118 0.118 0.118
4 Re 0.882 0.882 0.882
5 Pd 0.373 0.373 0.373
6 Pd 0.627 0.627 0.627

FeRePd2: optimized geometry, PBE-GGA.

Summary:
As for the crystal system: cubic. As for the excess energy over the best structure of this formula in the dataset: 0.000 eV/f.u. The calculation puts the total energy at -28.86 eV per cell. The value obtained for the total magnetization is 0.000 Bohr magnetons per cell. For the calculated formation energy, the calculation gives 0.6079 eV per atom.

Unit cell a=4.319 b=4.319 c=4.319 alpha=60.00 beta=60.00 gamma=60.00
Element x y z (fractional)
1 Fe 0.000 0.000 0.000
2 Re 0.500 0.500 0.500
3 Pd 0.250 0.250 0.250
4 Pd 0.750 0.750 0.750

FeRePd: optimized geometry, PBE-GGA.

Summary:
As for the crystal system: trigonal. As for the excess energy over the best structure of this formula in the dataset: 0.111 eV/f.u. The calculation puts the total energy at -25.69 eV per cell. The value obtained for the total magnetization is 1.878 Bohr magnetons per cell. For the calculated formation energy, the calculation gives 0.1393 eV per atom.

Unit cell a=2.728 b=2.728 c=6.537 alpha=90.00 beta=90.00 gamma=120.00
Element x y z (fractional)
1 Fe 0.000 0.000 0.000
2 Re 0.333 0.667 0.689
3 Pd 0.667 0.333 0.331

FeRePd: optimized geometry, PBE-GGA.

Summary:
As for the crystal system: tetragonal. As for the excess energy over the best structure of this formula in the dataset: 0.000 eV/f.u. The calculation puts the total energy at -25.80 eV per cell. The value obtained for the total magnetization is 1.806 Bohr magnetons per cell. For the calculated formation energy, the calculation gives 0.1023 eV per atom.

Unit cell a=6.000 b=6.000 c=6.000 alpha=153.99 beta=153.99 gamma=37.12
Element x y z (fractional)
1 Fe 0.000 0.000 0.000
2 Re 0.348 0.348 0.000
3 Pd 0.668 0.668 0.000

Fe2RePdRh: optimized geometry, PBE-GGA.

Summary:
As for the crystal system: tetragonal. The calculation puts the total energy at -31.71 eV per cell. The value obtained for the total magnetization is 2.454 Bohr magnetons per cell. For the calculated formation energy, the calculation gives 2.0416 eV per atom.

Unit cell a=4.287 b=4.287 c=4.817 alpha=90.00 beta=90.00 gamma=90.00
Element x y z (fractional)
1 Fe 0.000 0.500 0.000
2 Fe 0.500 0.000 0.000
3 Re 0.000 0.000 0.500
4 Pd 0.500 0.500 0.500
5 Rh 0.500 0.500 0.000

SrFeRe2Pd: optimized geometry, PBE-GGA.

Summary:
As for the crystal system: tetragonal. The calculation puts the total energy at -22.51 eV per cell. The value obtained for the total magnetization is 0.080 Bohr magnetons per cell. For the calculated formation energy, the calculation gives 3.5457 eV per atom.

Unit cell a=4.779 b=4.779 c=4.838 alpha=90.00 beta=90.00 gamma=90.00
Element x y z (fractional)
1 Sr 0.000 0.000 0.000
2 Fe 0.500 0.500 0.500
3 Re 0.000 0.500 0.000
4 Re 0.500 0.000 0.000
5 Pd 0.000 0.000 0.500

SrFeRePd2: optimized geometry, PBE-GGA.

Summary:
As for the crystal system: tetragonal. The calculation puts the total energy at -30.12 eV per cell. The value obtained for the total magnetization is 1.924 Bohr magnetons per cell. For the calculated formation energy, the calculation gives 0.5711 eV per atom.

Unit cell a=4.863 b=4.863 c=4.345 alpha=90.00 beta=90.00 gamma=90.00
Element x y z (fractional)
1 Sr 0.000 0.000 0.000
2 Fe 0.500 0.500 0.500
3 Re 0.500 0.500 0.000
4 Pd 0.000 0.500 0.500
5 Pd 0.500 0.000 0.500

Fe2RePdW: optimized geometry, PBE-GGA.

Summary:
As for the crystal system: tetragonal. The calculation puts the total energy at -39.36 eV per cell. The value obtained for the total magnetization is 4.169 Bohr magnetons per cell. For the calculated formation energy, the calculation gives 1.6310 eV per atom.

Unit cell a=4.476 b=4.476 c=4.733 alpha=90.00 beta=90.00 gamma=90.00
Element x y z (fractional)
1 Fe 0.000 0.500 0.000
2 Fe 0.500 0.000 0.000
3 Re 0.000 0.000 0.000
4 Pd 0.500 0.500 0.500
5 W 0.000 0.000 0.500

FePd4Rh: optimized geometry, PBE-GGA.

Summary:
As for the crystal system: tetragonal. As for the excess energy over the best structure of this formula in the dataset: 1.315 eV/f.u. The calculation puts the total energy at -69.49 eV per cell. The value obtained for the total magnetization is 10.372 Bohr magnetons per cell. For the calculated formation energy, the calculation gives 0.3067 eV per atom.

Unit cell a=6.037 b=6.037 c=5.327 alpha=90.00 beta=90.00 gamma=90.00
Element x y z (fractional)
1 Fe 0.000 0.500 0.250
2 Fe 0.500 0.000 0.750
3 Pd 0.175 0.238 0.891
4 Pd 0.175 0.762 0.609
5 Pd 0.238 0.175 0.391
6 Pd 0.238 0.825 0.109
7 Pd 0.762 0.175 0.109
8 Pd 0.762 0.825 0.391
9 Pd 0.825 0.238 0.609
10 Pd 0.825 0.762 0.891
11 Rh 0.500 0.500 0.000
12 Rh 0.500 0.500 0.500

FePdRh: optimized geometry, PBE-GGA.

Summary:
As for the crystal system: monoclinic. As for the excess energy over the best structure of this formula in the dataset: 0.462 eV/f.u. The calculation puts the total energy at -41.38 eV per cell. The value obtained for the total magnetization is 7.145 Bohr magnetons per cell. For the calculated formation energy, the calculation gives 0.1052 eV per atom.

Unit cell a=4.435 b=4.435 c=5.287 alpha=105.67 beta=105.67 gamma=108.12
Element x y z (fractional)
1 Fe 0.250 0.250 0.238
2 Fe 0.750 0.750 0.762
3 Pd 0.190 0.810 0.500
4 Pd 0.810 0.190 0.500
5 Rh 0.310 0.690 0.000
6 Rh 0.690 0.310 0.000

Fe2Pd4Rh: optimized geometry, PBE-GGA.

Summary:
As for the crystal system: monoclinic. The calculation puts the total energy at -43.78 eV per cell. The value obtained for the total magnetization is 7.605 Bohr magnetons per cell. For the calculated formation energy, the calculation gives 0.1806 eV per atom.

Unit cell a=5.093 b=5.093 c=4.786 alpha=90.08 beta=90.08 gamma=58.84
Element x y z (fractional)
1 Fe 0.000 0.000 0.250
2 Fe 0.000 0.000 0.750
3 Pd 0.000 0.500 0.500
4 Pd 0.343 0.343 0.000
5 Pd 0.500 0.000 0.500
6 Pd 0.657 0.657 0.000
7 Rh 0.500 0.500 0.500

FePd3Rh2: optimized geometry, PBE-GGA.

Summary:
As for the crystal system: orthorhombic. The calculation puts the total energy at -75.70 eV per cell. The value obtained for the total magnetization is 7.866 Bohr magnetons per cell. For the calculated formation energy, the calculation gives 0.1488 eV per atom.

Unit cell a=7.236 b=7.236 c=4.976 alpha=90.00 beta=90.00 gamma=136.03
Element x y z (fractional)
1 Fe 0.147 0.853 0.750
2 Fe 0.853 0.147 0.250
3 Pd 0.069 0.428 0.750
4 Pd 0.351 0.649 0.250
5 Pd 0.428 0.069 0.250
6 Pd 0.572 0.931 0.750
7 Pd 0.649 0.351 0.750
8 Pd 0.931 0.572 0.250
9 Rh 0.242 0.242 0.000
10 Rh 0.242 0.242 0.500
11 Rh 0.758 0.758 0.000
12 Rh 0.758 0.758 0.500

| no. | ρ (g cm⁻³) |
| --- | --- |
| 1 | 8.56 |
| 2 | 6.23 |
| 3 | 5.57 |
| 4 | 3.63 |
| 5 | 5.60 |
| 6 | 14.56 |
| 7 | 11.60 |
| 8 | 9.29 |
| 9 | 12.58 |
| 10 | 13.26 |
| 11 | 13.74 |
| 12 | 13.95 |
| 13 | 9.51 |
| 14 | 9.35 |
| 15 | 8.77 |
| 16 | 10.30 |
| 17 | 10.00 |
| 18 | 10.04 |
| 19 | 10.01 |
| 20 | 10.66 |